Entry 1:
AcScNi2Ge2 | PBE | optimized geometry

Cell and atoms, written as CIF:
```
data_AcScNi2Ge2
_chemical_formula_sum 'Ac1 Sc1 Ni2 Ge2'
_cell_length_a 4.2684
_cell_length_b 4.2684
_cell_length_c 7.3123
_cell_angle_alpha 90.00
_cell_angle_beta 90.00
_cell_angle_gamma 120.00
_space_group_name_H-M_alt 'P -3 m 1'
_space_group_IT_number 164
_space_group_name_Hall '-P 3 2"'
loop_
_atom_site_label
_atom_site_type_symbol
_atom_site_fract_x
_atom_site_fract_y
_atom_site_fract_z
Ac1 Ac 0.0000 0.0000 0.0000
Sc1 Sc 0.0000 0.0000 0.5000
Ni1 Ni 0.3333 0.6667 0.6701
Ge1 Ge 0.3333 0.6667 0.3018
```

Summary:
E: -5.96 eV/atom
Formation energy: -757 meV/atom
Magnetic moment: 0.00 μB per atom
DOS at the Fermi energy: 0.71 states/eV/atom

Entry 2:
UBr4O | PBE | optimized geometry

Cell and atoms, written as CIF:
```
data_UBr4O
_chemical_formula_sum 'U2 Br8 O2'
_cell_length_a 10.5942
_cell_length_b 10.5942
_cell_length_c 4.1232
_cell_angle_alpha 90.00
_cell_angle_beta 90.00
_cell_angle_gamma 90.00
_space_group_name_H-M_alt 'I 4/m'
_space_group_IT_number 87
_space_group_name_Hall '-I 4'
loop_
_atom_site_label
_atom_site_type_symbol
_atom_site_fract_x
_atom_site_fract_y
_atom_site_fract_z
U1 U 0.0000 0.0000 0.0000
Br1 Br 0.0637 0.2418 0.0000
O1 O 0.0000 0.0000 0.5000
```

Summary:
Uncorrected formation energy: -1.565 eV per atom
E: -5.39 eV/atom
Magnetic moment: 0.00 μB per atom